This record from Alexandria describes an optimized crystal structure of NbSiPd2. The functional is GGA-PBE.

Cell lengths 3.8120, 3.8120, 9.5084 Å; angles 78.44, 78.44, 90.00 degrees
With the nearest neighbours (Å) after each atom.
Element x y z (fractional)
Nb (0.7500, 0.2500, 0.5000)  4 Pd 2.66, 4 Si 2.70
Si (0.5000, 0.5000, 0.0000)  4 Pd 2.63, 4 Nb 2.70
Pd (0.6143, 0.1250, 0.2500)  2 Si 2.63, 4 Pd 2.64-2.75, 2 Nb 2.66
Pd (0.1357, 0.6250, 0.2500)  2 Si 2.63, 4 Pd 2.64-2.75, 2 Nb 2.66
Nb (0.0000, 0.0000, 0.0000)  4 Pd 2.66, 4 Si 2.70
Pd (0.3750, 0.3857, 0.7500)  2 Si 2.63, 4 Pd 2.64-2.75, 2 Nb 2.66
Si (0.2500, 0.7500, 0.5000)  4 Pd 2.63, 4 Nb 2.70
Pd (0.8750, 0.8643, 0.7500)  2 Si 2.63, 4 Pd 2.64-2.75, 2 Nb 2.66

Results
Formation energy without anion corrections (meV/atom): -177
Calculated total energy (Ha/atom): -0.244